# TbPmGeIr

A relaxed TbPmGeIr crystal (PBE, the Alexandria database).

The energy above the most stable polymorph in this dataset comes out at 0 meV/atom. As for the formation enthalpy at 0 K: -0.815 eV per atom. The calculation puts the density of states at the Fermi level at 0.62 states/eV per atom. The total magnetization is 0.00 μB per formula unit.

The structure in POSCAR format:
```
TbPmGeIr
1.0
4.134 0.000 0.000
0.000 2.091 5.403
0.000 -2.091 5.403
Tb Pm Ge Ir
1 1 1 1
Direct
0.000 0.000 0.000
0.500 0.719 0.719
0.000 0.293 0.293
0.500 0.443 0.443
```